Arrangement A

This record from OQMD via LeMat-Bulk describes a geometry-optimized Pr2Dy2CI3Cl2 structure. The functional is PBE-GGA.

It has space group C2/m (No. 12), with a = 17.9839 Å, b = 3.9618 Å, c = 8.5883 Å, α = 90.00°, β = 102.93° and γ = 90.00°. The inequivalent atoms are Pr at (0.1440, 0.0000, 0.0654), Dy at (0.0019, 0.5000, 0.8105), C at (0.0000, 0.0000, 0.0000), I at (0.0000, 0.0000, 0.5000), I at (0.1689, 0.5000, 0.3555) and Cl at (0.1615, 0.5000, 0.8310).

The crystal system is monoclinic. The calculation puts the calculated volume at 596 Å³/cell. Its total magnetic moment is 0.30 μB per formula unit.


Arrangement B

This record from OQMD via LeMat-Bulk describes a geometry-optimized Pr2Dy2CI3Cl2 structure. The functional is PBE-GGA.

It has space group C2/m (No. 12), with a = 18.7146 Å, b = 3.9849 Å, c = 8.8978 Å, α = 90.00°, β = 101.03° and γ = 90.00°. The inequivalent atoms are Pr at (0.9997, 0.0000, 0.1965), Dy at (0.1314, 0.5000, 0.0607), C at (0.0000, 0.5000, 0.0000), I at (0.0000, 0.5000, 0.5000), I at (0.1762, 0.0000, 0.8288) and Cl at (0.1558, 0.0000, 0.2753).

The crystal system is monoclinic. The calculation puts the calculated volume at 651 Å³/cell. Its total magnetic moment is 0.00 μB per formula unit.


Stability ranking, top and bottom: arrangement B is the most stable and arrangement A is the least stable.


Arrangement A

This record from OQMD via LeMat-Bulk describes a geometry-optimized Pr2Dy2CICl4 structure. The functional is PBE-GGA.

It has space group C2/m (No. 12), with a = 17.2876 Å, b = 3.9088 Å, c = 8.9677 Å, α = 90.00°, β = 103.47° and γ = 90.00°. The inequivalent atoms are Pr at (0.0013, 0.0000, 0.3045), Dy at (0.1426, 0.5000, 0.5703), C at (0.0000, 0.5000, 0.5000), I at (0.0000, 0.5000, 0.0000), Cl at (0.1704, 0.0000, 0.7861) and Cl at (0.1756, 0.0000, 0.3750).

The crystal system is monoclinic. The calculation puts the calculated volume at 589 Å³/cell. Its total magnetic moment is 0.01 μB per formula unit.


Arrangement B

This record from OQMD via LeMat-Bulk describes a geometry-optimized Pr2Dy2CICl4 structure. The functional is PBE-GGA.

It has space group C2/m (No. 12), with a = 17.5117 Å, b = 3.8578 Å, c = 8.4851 Å, α = 90.00°, β = 105.89° and γ = 90.00°. The inequivalent atoms are Pr at (0.1499, 0.0000, 0.0863), Dy at (0.0001, 0.5000, 0.1925), C at (0.0000, 0.0000, 0.0000), I at (0.0000, 0.0000, 0.5000), Cl at (0.1608, 0.5000, 0.3373) and Cl at (0.1643, 0.5000, 0.8407).

The crystal system is monoclinic. The calculation puts the calculated volume at 551 Å³/cell. Its total magnetic moment is 0.36 μB per formula unit.


Stability ranking, top and bottom: arrangement A is the most stable and arrangement B is the least stable.


Arrangement A

This record from OQMD via LeMat-Bulk describes a geometry-optimized Dy2Sc2CI2Cl3 structure. The functional is PBE-GGA.

It has space group C2/m (No. 12), with a = 19.2760 Å, b = 3.7209 Å, c = 7.7774 Å, α = 90.00°, β = 99.26° and γ = 90.00°. The inequivalent atoms are Dy at (0.0035, 0.0000, 0.2903), Sc at (0.1169, 0.5000, 0.5663), C at (0.0000, 0.5000, 0.5000), I at (0.1667, 0.0000, 0.3231), Cl at (0.0000, 0.5000, 0.0000) and Cl at (0.1396, 0.0000, 0.8030).

The crystal system is monoclinic. The calculation puts the calculated volume at 551 Å³/cell. Its total magnetic moment is 0.09 μB per formula unit.


Arrangement B

This record from OQMD via LeMat-Bulk describes a geometry-optimized Dy2Sc2CI2Cl3 structure. The functional is PBE-GGA.

It has space group C2/m (No. 12), with a = 17.8856 Å, b = 3.7178 Å, c = 7.6527 Å, α = 90.00°, β = 99.84° and γ = 90.00°. The inequivalent atoms are Dy at (0.1336, 0.0000, 0.0686), Sc at (0.0022, 0.5000, 0.8040), C at (0.0000, 0.0000, 0.0000), I at (0.1724, 0.5000, 0.7855), Cl at (0.0000, 0.0000, 0.5000) and Cl at (0.1427, 0.5000, 0.3236).

The crystal system is monoclinic. The calculation puts the calculated volume at 501 Å³/cell. Its total magnetic moment is 0.01 μB per formula unit.


Arrangement C

This record from OQMD via LeMat-Bulk describes a geometry-optimized Dy2Sc2CI2Cl3 structure. The functional is PBE-GGA.

It has space group C2/m (No. 12), with a = 19.4113 Å, b = 3.7340 Å, c = 7.6344 Å, α = 90.00°, β = 101.25° and γ = 90.00°. The inequivalent atoms are Dy at (0.1218, 0.0000, 0.0465), Sc at (0.0020, 0.5000, 0.1995), C at (0.0000, 0.0000, 0.0000), I at (0.1600, 0.5000, 0.3558), Cl at (0.0000, 0.0000, 0.5000) and Cl at (0.1375, 0.5000, 0.8045).

The crystal system is monoclinic. The calculation puts the calculated volume at 543 Å³/cell. Its total magnetic moment is 0.02 μB per formula unit.


Stability ranking, top and bottom: arrangement A is the most stable and arrangement C is the least stable.


Arrangement A

This record from OQMD via LeMat-Bulk describes a geometry-optimized Sm2Dy2CICl4 structure. The functional is PBE-GGA.

It has space group C2/m (No. 12), with a = 17.1743 Å, b = 3.8672 Å, c = 8.7065 Å, α = 90.00°, β = 104.64° and γ = 90.00°. The inequivalent atoms are Sm at (0.0001, 0.0000, 0.1944), Dy at (0.1438, 0.5000, 0.0745), C at (0.0000, 0.5000, 0.0000), I at (0.0000, 0.5000, 0.5000), Cl at (0.1702, 0.0000, 0.3008) and Cl at (0.1726, 0.0000, 0.8681).

The crystal system is monoclinic. The calculation puts the calculated volume at 559 Å³/cell. Its total magnetic moment is 0.02 μB per formula unit.


Arrangement B

This record from OQMD via LeMat-Bulk describes a geometry-optimized Sm2Dy2CICl4 structure. The functional is PBE-GGA.

It has space group C2/m (No. 12), with a = 17.3028 Å, b = 3.8369 Å, c = 8.4492 Å, α = 90.00°, β = 105.37° and γ = 90.00°. The inequivalent atoms are Sm at (0.1471, 0.0000, 0.0841), Dy at (0.9995, 0.5000, 0.1921), C at (0.0000, 0.0000, 0.0000), I at (0.0000, 0.0000, 0.5000), Cl at (0.1630, 0.5000, 0.3287) and Cl at (0.1676, 0.5000, 0.8514).

The crystal system is monoclinic. The calculation puts the calculated volume at 541 Å³/cell. Its total magnetic moment is 0.32 μB per formula unit.


Stability ranking, top and bottom: arrangement A is the most stable and arrangement B is the least stable.


Arrangement A

This record from OQMD via LeMat-Bulk describes a geometry-optimized Dy2Y2CI2Cl3 structure. The functional is PBE-GGA.

It has space group C2/m (No. 12), with a = 18.2680 Å, b = 3.8071 Å, c = 7.8955 Å, α = 90.00°, β = 100.49° and γ = 90.00°. The inequivalent atoms are Dy at (0.0023, 0.0000, 0.2924), Y at (0.1342, 0.5000, 0.5710), C at (0.0000, 0.5000, 0.5000), I at (0.1751, 0.0000, 0.2970), Cl at (0.0000, 0.5000, 0.0000) and Cl at (0.1490, 0.0000, 0.8229).

The crystal system is monoclinic. The calculation puts the calculated volume at 540 Å³/cell. Its total magnetic moment is 0.13 μB per formula unit.


Arrangement B

This record from OQMD via LeMat-Bulk describes a geometry-optimized Dy2Y2CI2Cl3 structure. The functional is PBE-GGA.

It has space group C2/m (No. 12), with a = 18.2977 Å, b = 3.8265 Å, c = 7.9315 Å, α = 90.00°, β = 100.31° and γ = 90.00°. The inequivalent atoms are Dy at (0.0026, 0.0000, 0.2930), Y at (0.1324, 0.5000, 0.5561), C at (0.0000, 0.5000, 0.5000), I at (0.1662, 0.0000, 0.8548), Cl at (0.0000, 0.5000, 0.0000) and Cl at (0.1603, 0.0000, 0.3282).

The crystal system is monoclinic. The calculation puts the calculated volume at 546 Å³/cell. Its total magnetic moment is 0.25 μB per formula unit.


Stability ranking, top and bottom: arrangement A is the most stable and arrangement B is the least stable.


Arrangement A

This record from OQMD via LeMat-Bulk describes a geometry-optimized Dy2Y2CI2Cl3 structure. The functional is PBE-GGA.

It has space group C2/m (No. 12), with a = 18.3043 Å, b = 3.8175 Å, c = 7.8963 Å, α = 90.00°, β = 100.12° and γ = 90.00°. The inequivalent atoms are Dy at (0.1331, 0.0000, 0.0690), Y at (0.0024, 0.5000, 0.7919), C at (0.0000, 0.0000, 0.0000), I at (0.1755, 0.5000, 0.7973), Cl at (0.0000, 0.0000, 0.5000) and Cl at (0.1486, 0.5000, 0.3189).

The crystal system is monoclinic. The calculation puts the calculated volume at 543 Å³/cell. Its total magnetic moment is 0.10 μB per formula unit.


Arrangement B

This record from OQMD via LeMat-Bulk describes a geometry-optimized Dy2Y2CI2Cl3 structure. The functional is PBE-GGA.

It has space group C2/m (No. 12), with a = 18.2866 Å, b = 3.8288 Å, c = 7.9340 Å, α = 90.00°, β = 100.12° and γ = 90.00°. The inequivalent atoms are Dy at (0.1319, 0.0000, 0.0555), Y at (0.0027, 0.5000, 0.7927), C at (0.0000, 0.0000, 0.0000), I at (0.1665, 0.5000, 0.3524), Cl at (0.0000, 0.0000, 0.5000) and Cl at (0.1608, 0.5000, 0.8294).

The crystal system is monoclinic. The calculation puts the calculated volume at 547 Å³/cell. Its total magnetic moment is 0.23 μB per formula unit.


Stability ranking, top and bottom: arrangement A is the most stable and arrangement B is the least stable.